# 1
Crystalline Cd17Hg2 at its relaxed geometry. Source: the Alexandria database, functional GGA-PBE.

Computed properties:
Total DFT energy (no corrections) = -0.79 eV/atom
Space group = R-3m

a b c (Å): 7.8061 7.8061 7.8061
angles (deg): 84.24 84.24 84.24
Fractional coordinates of all 19 atoms:
Cd  0.0000  0.0000  0.5000
Cd  0.0000  0.2846  0.7154
Cd  0.0000  0.5000  0.0000
Cd  0.0000  0.7154  0.2846
Cd  0.1252  0.1252  0.1252
Cd  0.1560  0.6190  0.6190
Cd  0.2846  0.0000  0.7154
Cd  0.2846  0.7154  0.0000
Cd  0.3810  0.3810  0.8440
Cd  0.3810  0.8440  0.3810
Cd  0.5000  0.0000  0.0000
Cd  0.6190  0.1560  0.6190
Cd  0.6190  0.6190  0.1560
Cd  0.7154  0.0000  0.2846
Cd  0.7154  0.2846  0.0000
Cd  0.8440  0.3810  0.3810
Cd  0.8748  0.8748  0.8748
Hg  0.3434  0.3434  0.3434
Hg  0.6566  0.6566  0.6566


# 2
Crystalline Cd2Hg at its relaxed geometry. Source: the Alexandria database, functional GGA-PBE.

Computed properties:
Total DFT energy (no corrections) = -0.69 eV/atom
Space group = I4_1/amd

a b c (Å): 14.3168 14.3168 14.3168
angles (deg): 162.00 162.00 25.57
Fractional coordinates of all 12 atoms:
Cd  0.1253  0.3753  0.7500
Cd  0.2917  0.5417  0.7500
Cd  0.3753  0.1253  0.2500
Cd  0.4583  0.7083  0.7500
Cd  0.5417  0.2917  0.2500
Cd  0.6247  0.8747  0.7500
Cd  0.7083  0.4583  0.2500
Cd  0.8747  0.6247  0.2500
Hg  0.0434  0.7934  0.2500
Hg  0.2066  0.9566  0.2500
Hg  0.7934  0.0434  0.7500
Hg  0.9566  0.2066  0.7500


# 3
Crystalline CdHg15 at its relaxed geometry. Source: the Alexandria database, functional GGA-PBE.

Computed properties:
Total DFT energy (no corrections) = -0.32 eV/atom
Space group = P-6m2

a b c (Å): 7.3891 7.3891 9.4205
angles (deg): 90.00 90.00 120.00
Fractional coordinates of all 16 atoms:
Cd  0.0000  0.0000  0.0000
Hg  0.0000  0.0000  0.5000
Hg  0.0067  0.5033  0.0000
Hg  0.3254  0.1627  0.2456
Hg  0.3254  0.1627  0.7544
Hg  0.3333  0.6667  0.2600
Hg  0.3333  0.6667  0.7400
Hg  0.4967  0.5033  0.0000
Hg  0.4967  0.9933  0.0000
Hg  0.5080  0.0160  0.5000
Hg  0.5080  0.4920  0.5000
Hg  0.8373  0.1627  0.2456
Hg  0.8373  0.1627  0.7544
Hg  0.8373  0.6746  0.2456
Hg  0.8373  0.6746  0.7544
Hg  0.9840  0.4920  0.5000


# 4
Crystalline Cd2Hg7 at its relaxed geometry. Source: the Alexandria database, functional GGA-PBE.

Computed properties:
Total DFT energy (no corrections) = -0.41 eV/atom
Space group = C2/m

a b c (Å): 5.3444 5.3444 9.5474
angles (deg): 90.11 90.11 59.96
Fractional coordinates of all 9 atoms:
Cd  0.1671  0.1671  0.2126
Cd  0.8329  0.8329  0.7874
Hg  0.1670  0.1670  0.5443
Hg  0.1669  0.1669  0.8800
Hg  0.5000  0.5000  0.0000
Hg  0.4996  0.4996  0.3313
Hg  0.5004  0.5004  0.6687
Hg  0.8331  0.8331  0.1200
Hg  0.8330  0.8330  0.4557


# 5
Crystalline Cd2Hg at its relaxed geometry. Source: the Alexandria database, functional GGA-PBE.

Computed properties:
Total DFT energy (no corrections) = -0.59 eV/atom
Space group = Pa-3

a b c (Å): 7.0103 7.0103 7.0103
angles (deg): 90.00 90.00 90.00
Fractional coordinates of all 12 atoms:
Cd  0.1227  0.1227  0.1227
Cd  0.1227  0.3773  0.6227
Cd  0.3773  0.6227  0.1227
Cd  0.3773  0.8773  0.6227
Cd  0.6227  0.1227  0.3773
Cd  0.6227  0.3773  0.8773
Cd  0.8773  0.6227  0.3773
Cd  0.8773  0.8773  0.8773
Hg  0.0000  0.0000  0.5000
Hg  0.0000  0.5000  0.0000
Hg  0.5000  0.0000  0.0000
Hg  0.5000  0.5000  0.5000


# 6
Crystalline Cd8Hg3 at its relaxed geometry. Source: the Alexandria database, functional GGA-PBE.

Computed properties:
Total DFT energy (no corrections) = -0.74 eV/atom
Space group = C2/m
Energy relative to the lowest polymorph listed for this composition = 0 meV per atom

a b c (Å): 5.2413 5.2413 12.9211
angles (deg): 92.96 92.96 47.10
Fractional coordinates of all 11 atoms:
Cd  0.0466  0.0466  0.3193
Cd  0.1353  0.1353  0.9535
Cd  0.2268  0.2268  0.5921
Cd  0.3197  0.3197  0.2302
Cd  0.6803  0.6803  0.7698
Cd  0.7732  0.7732  0.4079
Cd  0.8647  0.8647  0.0465
Cd  0.9534  0.9534  0.6807
Hg  0.4084  0.4084  0.8640
Hg  0.5000  0.5000  0.5000
Hg  0.5916  0.5916  0.1360


# 7
Crystalline Cd3Hg at its relaxed geometry. Source: the Alexandria database, functional GGA-PBE.

Computed properties:
Total DFT energy (no corrections) = -0.75 eV/atom
Space group = Pmm2

a b c (Å): 3.2398 5.3731 5.3045
angles (deg): 90.00 90.00 90.00
Fractional coordinates of all 4 atoms:
Cd  0.0000  0.0000  0.0000
Cd  0.0000  0.5000  0.3202
Cd  0.5000  0.0000  0.5004
Hg  0.5000  0.5000  0.8208


# 8
Crystalline CdHg12 at its relaxed geometry. Source: the Alexandria database, functional GGA-PBE.

Computed properties:
Total DFT energy (no corrections) = -0.33 eV/atom
Space group = Im-3

a b c (Å): 7.7689 7.7689 7.7689
angles (deg): 109.47 109.47 109.47
Fractional coordinates of all 13 atoms:
Cd  0.0000  0.0000  0.0000
Hg  0.1393  0.3194  0.8199
Hg  0.1801  0.4995  0.3194
Hg  0.1801  0.8607  0.6806
Hg  0.3194  0.1801  0.4995
Hg  0.3194  0.8199  0.1393
Hg  0.4995  0.3194  0.1801
Hg  0.5005  0.6806  0.8199
Hg  0.6806  0.1801  0.8607
Hg  0.6806  0.8199  0.5005
Hg  0.8199  0.1393  0.3194
Hg  0.8199  0.5005  0.6806
Hg  0.8607  0.6806  0.1801


Ρ values, unit g cm⁻³, following the record order: 8.2 10.1 11.6 11.5 8.2 9.6 9.7 11.6.